Entry from Alexandria via LeMat-Bulk: an optimized crystal structure of KBeCdHg2 (GGA-PBE).

Properties
For the calculated volume, the calculation gives 125.5 Å³ per cell. The value obtained for the calculated total energy is -1.23 eV/atom. As for the symmetry: P4/mmm, No. 123.

Cell: 5.0261 5.0261 4.9696 Å, 90.00 90.00 90.00°
With the nearest neighbours (Å) after each atom.
Atoms (fractional coordinates):
Be 0.0000 0.0000 0.0000  2 Cd 2.48, 4 Hg 2.51
K 0.5000 0.5000 0.5000  8 Hg 3.53, 4 Cd 3.55
Hg 0.0000 0.5000 0.0000  2 Be 2.51
Hg 0.5000 0.0000 0.0000  2 Be 2.51
Cd 0.0000 0.0000 0.5000  2 Be 2.48